DFT (PBE with a Hubbard U) results for an optimized crystal structure of Sr2MnPtO4.

abc: 6.125 6.125 6.573
angles: 90.00 90.00 90.00
Space group I-4 (No. 82)
One atom of each set of equivalent atoms:
Sr  0.000  0.000  0.000 x2
Sr  0.000  0.500  0.250 x2
Mn  0.000  0.000  0.500 x2
Pt  0.000  0.500  0.750 x2
O  0.166  0.792  0.711 x8

Results
E   -6.385 eV per atom